1.
DFT (PBE-GGA) results for a relaxed Ca3Hg8Pd4 crystal.

The value obtained for the total magnetization is 0.00 μB/f.u. As for the raw total energy: -280.58 eV/cell. As for the density: 10.81 Mg/m³. The value obtained for the volume is 2644 Å³ per cell. As for the crystal system: cubic. The value obtained for the energy of formation from the pure elements is -37.8 kJ/mol of atoms.

a = 13.8270 Å, b = 13.8270 Å, c = 13.8270 Å
α = 90.00°, β = 90.00°, γ = 90.00°
Closest atoms and distances in Å follow each position.
Space group Fm-3m (No. 225)
Asymmetric unit:
1 Ca 0.0000 0.0000 0.2191  1 Pd 3.03, 8 Hg 3.18-3.24
2 Hg 0.1216 0.1216 0.3784  4 Pd 2.91-3.02, 3 Hg 3.15, 3 Ca 3.24
3 Hg 0.1562 0.1562 0.1562  3 Pd 2.83, 3 Hg 3.15
4 Pd 0.0000 0.0000 0.0000  6 Ca 3.03
5 Pd 0.0000 0.0000 0.5000  8 Hg 2.91
6 Pd 0.0000 0.2500 0.2500  8 Hg 2.83-3.02

2.
DFT (PBE-GGA) results for a relaxed Ca3Hg5Pd2 crystal.

The value obtained for the total magnetization is 0.00 μB/f.u. As for the raw total energy: -45.78 eV/cell. As for the density: 9.35 Mg/m³. The value obtained for the volume is 474 Å³ per cell. As for the crystal system: tetragonal. The value obtained for the energy of formation from the pure elements is -48.1 kJ/mol of atoms.

a = 10.3031 Å, b = 10.3031 Å, c = 4.4687 Å
α = 90.00°, β = 90.00°, γ = 90.00°
Closest atoms and distances in Å follow each position.
Space group P4/mbm (No. 127)
Asymmetric unit:
1 Ca 0.0000 0.0000 0.0000  8 Hg 3.17
2 Ca 0.1708 0.3292 0.0000  3 Pd 3.01-3.07, 2 Hg 3.34
3 Hg 0.0000 0.5000 0.5000  4 Pd 2.86, 4 Hg 3.11
4 Hg 0.0720 0.7934 0.5000  2 Pd 2.89, 4 Hg 3.11-3.23, 2 Ca 3.17
5 Pd 0.1228 0.6228 0.0000  6 Hg 2.86-2.89, 3 Ca 3.01-3.07

3.
DFT (PBE-GGA) results for a relaxed CaHgPd crystal.

The value obtained for the total magnetization is 0.00 μB/f.u. As for the raw total energy: -18.09 eV/cell. As for the density: 8.73 Mg/m³. The value obtained for the volume is 132 Å³ per cell. As for the crystal system: tetragonal. The value obtained for the energy of formation from the pure elements is -49.9 kJ/mol of atoms.

a = 3.7149 Å, b = 3.7149 Å, c = 9.5692 Å
α = 90.00°, β = 90.00°, γ = 90.00°
Closest atoms and distances in Å follow each position.
Space group I4mm (No. 107)
Asymmetric unit:
1 Ca 0.0000 0.0000 0.0000  5 Hg 3.03-3.16, 5 Pd 3.08-3.18
2 Hg 0.0000 0.0000 0.3168  4 Pd 2.99, 5 Ca 3.03-3.16
3 Pd 0.0000 0.0000 0.6672  4 Hg 2.99, 5 Ca 3.08-3.18

Repeat the third record exactly.
DFT (PBE-GGA) results for a relaxed CaHgPd crystal.

The value obtained for the total magnetization is 0.00 μB/f.u. As for the raw total energy: -18.09 eV/cell. As for the density: 8.73 Mg/m³. The value obtained for the volume is 132 Å³ per cell. As for the crystal system: tetragonal. The value obtained for the energy of formation from the pure elements is -49.9 kJ/mol of atoms.

a = 3.7149 Å, b = 3.7149 Å, c = 9.5692 Å
α = 90.00°, β = 90.00°, γ = 90.00°
Closest atoms and distances in Å follow each position.
Space group I4mm (No. 107)
Asymmetric unit:
1 Ca 0.0000 0.0000 0.0000  5 Hg 3.03-3.16, 5 Pd 3.08-3.18
2 Hg 0.0000 0.0000 0.3168  4 Pd 2.99, 5 Ca 3.03-3.16
3 Pd 0.0000 0.0000 0.6672  4 Hg 2.99, 5 Ca 3.08-3.18